The following is a PBE calculation of a geometry-optimized DyHoZnSn structure, from Alexandria via LeMat-Bulk.

Computed properties:
The calculation puts the energy of formation from the pure elements at -493 meV per atom. As for the space group: F-43m (216).

Geometry as extended XYZ:
```
4
Lattice="5.170 0.000 0.000 2.585 4.478 0.000 2.585 1.493 4.221" Properties=species:S:1:pos:R:3 pbc="T T T"
Zn 0.000 0.000 0.000
Ho 7.755 4.478 3.166
Sn 5.170 2.985 2.111
Dy 2.585 1.493 1.055
```

---

The following is a PBE calculation of a geometry-optimized SrDy2Ho structure, from Alexandria via LeMat-Bulk.

Computed properties:
The relative energy among the computed polymorphs comes out at 0.40 eV/f.u. The calculation puts the energy of formation from the pure elements at 225 meV per atom. As for the space group: R-3m (166).

Geometry as extended XYZ:
```
4
Lattice="3.594 0.000 0.000 1.797 3.113 0.000 1.797 1.038 12.748" Properties=species:S:1:pos:R:3 pbc="T T T"
Sr 0.000 0.000 0.000
Ho 3.594 2.075 6.374
Dy 1.797 1.038 9.178
Dy 5.391 3.113 3.570
```

---

The following is a PBE calculation of a geometry-optimized SrDy2Ho structure, from Alexandria via LeMat-Bulk.

Computed properties:
The relative energy among the computed polymorphs comes out at 0.02 eV/f.u. The calculation puts the energy of formation from the pure elements at 131 meV per atom. As for the space group: R3m (160).

Geometry as extended XYZ:
```
4
Lattice="-3.144 1.306 1.341 -0.599 -0.022 3.609 3.702 11.433 2.537" Properties=species:S:1:pos:R:3 pbc="T T T"
Sr -0.028 6.342 3.742
Dy 2.564 8.903 2.333
Dy -0.108 2.962 1.854
Ho -2.489 0.869 3.301
```

---

The following is a PBE calculation of a geometry-optimized SrDyHo2 structure, from Alexandria via LeMat-Bulk.

Computed properties:
The relative energy among the computed polymorphs comes out at 0.02 eV/f.u. The calculation puts the energy of formation from the pure elements at 134 meV per atom. As for the space group: R3m (160).

Geometry as extended XYZ:
```
4
Lattice="-0.102 -2.670 2.490 3.051 -1.817 0.855 3.327 6.538 9.825" Properties=species:S:1:pos:R:3 pbc="T T T"
Sr 3.134 1.012 6.571
Dy 1.969 -2.982 2.241
Ho 2.787 4.687 7.819
Ho 1.524 0.358 3.125
```

---

The following is a PBE calculation of a geometry-optimized SrDy2Ho structure, from Alexandria via LeMat-Bulk.

Computed properties:
The relative energy among the computed polymorphs comes out at 0.00 eV/f.u. The calculation puts the energy of formation from the pure elements at 125 meV per atom. As for the space group: P4/mmm (123).

Geometry as extended XYZ:
```
4
Lattice="-1.348 2.986 1.640 -3.120 -1.791 0.696 3.944 -3.284 9.224" Properties=species:S:1:pos:R:3 pbc="T T T"
Sr -0.262 -1.044 5.780
Ho -2.234 0.598 1.168
Dy 3.075 -2.561 7.193
Dy 0.868 -0.723 2.031
```

---

The following is a PBE calculation of a geometry-optimized SrDyHo2 structure, from Alexandria via LeMat-Bulk.

Computed properties:
The relative energy among the computed polymorphs comes out at 0.40 eV/f.u. The calculation puts the energy of formation from the pure elements at 230 meV per atom. As for the space group: R-3m (166).

Geometry as extended XYZ:
```
4
Lattice="3.590 0.000 0.000 1.795 3.109 0.000 1.795 1.036 12.722" Properties=species:S:1:pos:R:3 pbc="T T T"
Sr 0.000 0.000 0.000
Ho 1.795 1.036 9.165
Ho 5.384 3.109 3.557
Dy 3.590 2.072 6.361
```

---

The following is a PBE calculation of a geometry-optimized SrDyHo2 structure, from Alexandria via LeMat-Bulk.

Computed properties:
The relative energy among the computed polymorphs comes out at 0.00 eV/f.u. The calculation puts the energy of formation from the pure elements at 130 meV per atom. As for the space group: P4/mmm (123).

Geometry as extended XYZ:
```
4
Lattice="-0.295 -3.629 -0.390 2.526 -0.485 2.606 -7.585 -0.169 7.320" Properties=species:S:1:pos:R:3 pbc="T T T"
Sr -2.677 -2.142 4.768
Ho -5.914 -0.132 5.708
Ho -1.671 -0.037 1.612
Dy 1.115 -2.057 1.108
```

---

The following is a PBE calculation of a geometry-optimized Sr3Dy2HoTe6 structure, from Alexandria via LeMat-Bulk.

Computed properties:
Its uncorrected formation energy is -1484 meV/atom. As for the space group: C2/m (12).

Geometry as extended XYZ:
```
12
Lattice="7.761 0.004 0.000 -3.875 6.724 0.000 -1.296 -2.244 7.529" Properties=species:S:1:pos:R:3 pbc="T T T"
Sr -2.578 4.479 3.765
Sr 5.167 0.005 3.765
Sr 1.295 2.242 3.765
Dy 0.007 4.482 0.000
Dy 3.878 2.246 0.000
Ho 0.000 0.000 0.000
Te 3.878 2.250 5.797
Te 2.595 4.492 1.738
Te -1.289 2.234 1.733
Te 0.011 4.484 5.797
Te -0.005 -0.008 5.792
Te 2.579 0.000 1.733
```

---

The following is a PBE calculation of a geometry-optimized Sr3DyHo2Te6 structure, from Alexandria via LeMat-Bulk.

Computed properties:
Its uncorrected formation energy is -1479 meV/atom. As for the space group: C2/m (12).

Geometry as extended XYZ:
```
12
Lattice="-3.957 -6.307 -2.175 7.086 1.305 -2.871 1.979 -2.195 7.386" Properties=species:S:1:pos:R:3 pbc="T T T"
Sr 6.239 -1.059 0.938
Sr -1.131 -6.139 1.402
Sr 2.554 -3.599 1.170
Dy 0.000 0.000 0.000
Ho 3.405 -1.232 -2.639
Ho -0.276 -3.770 -2.407
Te 2.044 -6.746 1.988
Te 2.777 -4.217 -2.049
Te 3.064 -0.451 0.352
Te 5.737 -4.201 1.755
Te 2.331 -2.980 4.389
Te -0.629 -2.997 0.585
```

---

The following is a PBE calculation of a geometry-optimized Sr3DyHo3Te8 structure, from Alexandria via LeMat-Bulk.

Computed properties:
Its uncorrected formation energy is -1504 meV/atom. As for the space group: R-3m (166).

Geometry as extended XYZ:
```
15
Lattice="8.858 0.000 0.000 -4.429 7.672 -0.028 0.000 -5.087 7.631" Properties=species:S:1:pos:R:3 pbc="T T T"
Sr 0.000 0.000 0.000
Sr -2.215 3.836 -0.014
Sr 2.215 3.836 -0.014
Dy 0.000 -2.544 3.815
Ho 4.429 -2.544 3.815
Ho 2.215 1.293 3.801
Ho -2.215 1.293 3.801
Te 0.000 2.565 2.050
Te 4.429 0.020 5.553
Te 4.429 2.523 2.043
Te 0.000 0.062 5.560
Te 6.608 -1.251 2.059
Te -2.179 3.836 5.544
Te 2.250 -1.251 2.059
Te 2.179 3.836 5.544
```

---

The following is a PBE calculation of a geometry-optimized DyHo2Ta structure, from Alexandria via LeMat-Bulk.

Computed properties:
The calculation puts the energy of formation from the pure elements at 590 meV per atom. As for the space group: R-3m (166).

Geometry as extended XYZ:
```
4
Lattice="3.261 0.000 0.000 1.630 2.824 0.000 1.630 0.941 11.631" Properties=species:S:1:pos:R:3 pbc="T T T"
Dy 3.261 1.883 5.816
Ho 1.630 0.941 8.705
Ho 4.891 2.824 2.926
Ta 0.000 0.000 0.000
```

---

The following is a PBE calculation of a geometry-optimized Tb2Dy3Ho3 structure, from Alexandria via LeMat-Bulk.

Computed properties:
The relative energy among the computed polymorphs comes out at 0.00 eV/f.u. The calculation puts the energy of formation from the pure elements at 3 meV per atom. As for the space group: C2/m (12).

Geometry as extended XYZ:
```
8
Lattice="-0.985 -3.078 1.461 1.057 -2.870 -5.327 10.850 -4.919 1.266" Properties=species:S:1:pos:R:3 pbc="T T T"
Tb 5.441 -3.946 -0.334
Tb 5.482 -6.921 -2.265
Dy 8.543 -8.364 -3.242
Dy 0.036 -2.974 -1.933
Dy 2.380 -2.503 0.643
Ho 8.507 -5.389 -1.308
Ho 2.416 -5.477 -1.291
Ho 0.000 0.000 0.000
```

---

The following is a PBE calculation of a geometry-optimized Tb5Dy3Ho4 structure, from Alexandria via LeMat-Bulk.

Computed properties:
The relative energy among the computed polymorphs comes out at 2.68 eV/f.u. The calculation puts the energy of formation from the pure elements at 240 meV per atom. As for the space group: C2/m (12).

Geometry as extended XYZ:
```
12
Lattice="5.841 0.000 0.000 2.921 7.523 -2.695 2.921 -0.875 9.069" Properties=species:S:1:pos:R:3 pbc="T T T"
Tb 8.762 6.441 4.694
Tb 5.841 3.324 3.187
Tb 2.921 3.360 -0.213
Tb 8.762 3.287 6.587
Tb 2.921 0.207 1.679
Dy 5.841 4.932 0.597
Dy 2.921 3.324 3.187
Dy 5.841 1.715 5.776
Ho 5.841 1.613 -0.052
Ho 2.921 -0.176 5.506
Ho 8.762 6.824 0.868
Ho 5.841 5.035 6.426
```

---

The following is a PBE calculation of a geometry-optimized TbDy2Ho3 structure, from Alexandria via LeMat-Bulk.

Computed properties:
The relative energy among the computed polymorphs comes out at 0.00 eV/f.u. The calculation puts the energy of formation from the pure elements at 19 meV per atom. As for the space group: C2/c (15).

Geometry as extended XYZ:
```
12
Lattice="-0.999 5.614 -2.176 0.308 -2.499 -6.588 -8.676 -0.205 3.448" Properties=species:S:1:pos:R:3 pbc="T T T"
Tb -0.711 3.898 -2.457
Tb 0.019 -0.783 -6.308
Dy -3.309 1.850 -3.688
Dy -2.732 -1.582 -4.247
Dy -6.635 4.491 -1.070
Dy -6.058 1.059 -1.629
Ho -0.134 0.466 -3.015
Ho -0.557 2.649 -5.750
Ho -2.888 -0.331 -0.954
Ho -5.903 -0.192 -4.923
Ho -3.465 3.101 -0.394
Ho -6.479 3.241 -4.363
```

---

The following is a PBE calculation of a geometry-optimized Tb2DyHo12 structure, from Alexandria via LeMat-Bulk.

Computed properties:
The calculation puts the energy of formation from the pure elements at 111 meV per atom. As for the space group: P2/m (10).

Geometry as extended XYZ:
```
30
Lattice="6.415 1.453 0.532 1.453 6.415 -0.532 1.302 -1.302 24.399" Properties=species:S:1:pos:R:3 pbc="T T T"
Tb 5.244 6.559 6.622
Tb 1.309 2.625 6.622
Tb 7.861 3.942 17.777
Tb 3.926 0.008 17.777
Dy 5.963 5.840 24.133
Dy 7.142 4.661 0.266
Ho 4.469 3.399 19.592
Ho 6.951 0.918 20.124
Ho 7.542 4.261 21.199
Ho 2.914 4.954 22.301
Ho 1.920 5.948 7.507
Ho 3.775 4.094 1.566
Ho 6.301 1.567 13.909
Ho 4.401 3.467 8.039
Ho 3.607 0.327 21.199
Ho 5.563 6.240 3.200
Ho 3.042 0.892 14.114
Ho 5.350 2.519 11.022
Ho 7.250 0.618 16.892
Ho 2.193 1.741 10.285
Ho 1.628 2.306 3.199
Ho 6.128 5.675 10.285
Ho 6.977 4.826 14.114
Ho 2.220 5.649 4.275
Ho 3.820 4.048 13.377
Ho 4.769 3.099 16.360
Ho 5.395 2.473 22.833
Ho 4.701 3.168 4.807
Ho 2.869 5.000 10.490
Ho 6.256 1.613 2.098
```

---

The following is a PBE calculation of a geometry-optimized Tb12Dy2Ho structure, from Alexandria via LeMat-Bulk.

Computed properties:
The calculation puts the energy of formation from the pure elements at 117 meV per atom. As for the space group: P2/m (10).

Geometry as extended XYZ:
```
30
Lattice="-3.951 5.286 0.511 -1.475 1.818 6.192 21.301 11.868 4.667" Properties=species:S:1:pos:R:3 pbc="T T T"
Tb 14.060 13.387 6.507
Tb 15.298 11.652 9.347
Tb 13.946 16.090 8.205
Tb 17.164 14.367 7.981
Tb 3.074 9.173 2.079
Tb -0.050 2.870 6.229
Tb 8.704 10.732 4.985
Tb 4.312 7.439 4.919
Tb 16.659 12.538 4.853
Tb -0.784 6.433 6.516
Tb 11.055 8.368 4.737
Tb 5.932 9.974 3.544
Tb 12.801 9.798 9.290
Tb 7.534 7.051 3.281
Tb 1.929 2.881 3.165
Tb 4.820 10.603 6.633
Tb 8.342 11.920 8.088
Tb 0.577 7.319 2.022
Tb 9.943 8.997 7.825
Tb 11.563 11.533 6.450
Tb 15.925 16.101 5.140
Tb 1.815 5.585 4.863
Tb 7.171 8.240 6.384
Tb -1.289 4.605 3.389
Dy 3.929 5.697 1.799
Dy 1.216 9.249 5.150
Dy 14.659 9.722 6.219
Dy 11.946 13.274 9.571
Ho 19.325 14.511 4.922
Ho -0.737 0.909 3.096
```

---

The following is a PBE calculation of a geometry-optimized Tb6Dy12Ho structure, from Alexandria via LeMat-Bulk.

Computed properties:
The relative energy among the computed polymorphs comes out at 0.00 eV/f.u. The calculation puts the energy of formation from the pure elements at 155 meV per atom. As for the space group: R-3 (148).

Geometry as extended XYZ:
```
19
Lattice="8.419 0.712 0.853 -0.573 8.430 0.853 -0.573 -0.667 8.447" Properties=species:S:1:pos:R:3 pbc="T T T"
Tb 5.552 7.974 4.015
Tb 5.619 2.604 1.589
Tb 0.234 5.721 2.846
Tb 1.722 0.500 6.137
Tb 1.655 5.871 8.564
Tb 7.041 2.754 7.306
Dy 5.962 4.831 4.805
Dy 2.916 6.479 5.612
Dy 3.872 3.544 7.377
Dy 1.312 3.644 5.348
Dy 4.358 1.996 4.541
Dy 3.403 4.931 2.775
Dy -0.221 1.501 3.193
Dy 5.757 5.335 9.573
Dy 4.400 8.258 8.106
Dy 7.495 6.974 6.959
Dy 1.517 3.140 0.580
Dy 2.874 0.217 2.047
Ho 0.000 0.000 0.000
```

---

The following is a PBE calculation of a geometry-optimized Tb2Dy9Ho structure, from Alexandria via LeMat-Bulk.

Computed properties:
The relative energy among the computed polymorphs comes out at 0.00 eV/f.u. The calculation puts the energy of formation from the pure elements at 20 meV per atom. As for the space group: P4/mmm (123).

Geometry as extended XYZ:
```
12
Lattice="5.002 0.000 0.000 0.000 5.002 0.000 0.000 0.000 15.000" Properties=species:S:1:pos:R:3 pbc="T T T"
Tb 0.000 0.000 4.995
Tb 0.000 0.000 10.005
Dy 2.501 2.501 0.000
Dy 2.501 2.501 4.995
Dy 2.501 2.501 10.005
Dy 2.501 0.000 2.493
Dy 2.501 0.000 7.500
Dy 2.501 0.000 12.508
Dy 0.000 2.501 2.493
Dy 0.000 2.501 7.500
Dy 0.000 2.501 12.508
Ho 0.000 0.000 0.000
```

---

The following is a PBE calculation of a geometry-optimized Tb5Dy2Ho6 structure, from Alexandria via LeMat-Bulk.

Computed properties:
The calculation puts the energy of formation from the pure elements at 97 meV per atom. As for the space group: Pbam (55).

Geometry as extended XYZ:
```
26
Lattice="-3.251 -0.767 1.208 3.089 -11.054 1.294 6.073 3.900 18.814" Properties=species:S:1:pos:R:3 pbc="T T T"
Tb 2.037 -1.960 9.456
Tb 3.875 -5.961 11.861
Tb 1.155 -9.046 2.587
Tb 4.757 1.124 18.730
Tb 1.851 -5.819 6.507
Tb 4.061 -2.103 14.810
Tb 0.024 -0.473 4.984
Tb 5.888 -7.448 16.333
Tb -0.081 -5.911 1.251
Tb 1.411 1.566 10.011
Dy 2.784 -2.533 5.881
Dy 6.379 -4.622 14.227
Dy 3.845 -8.370 5.031
Dy 5.318 1.216 15.077
Ho 2.492 0.530 7.041
Ho 6.671 -7.685 13.068
Ho 2.596 -5.922 3.226
Ho 6.566 -1.233 16.882
Ho 0.206 -3.459 3.579
Ho 5.706 -4.462 17.738
Ho 3.139 -8.095 8.528
Ho 2.773 0.173 12.789
Ho 4.274 -4.550 8.610
Ho 4.888 -2.604 11.498
Ho 0.675 -0.342 1.598
Ho 8.488 -6.812 18.510
```

---

The following is a PBE calculation of a geometry-optimized Tb2Dy7Ho4 structure, from Alexandria via LeMat-Bulk.

Computed properties:
The calculation puts the energy of formation from the pure elements at 176 meV per atom. As for the space group: P-31m (162).

Geometry as extended XYZ:
```
13
Lattice="-6.012 0.462 0.263 2.991 -2.958 4.327 1.159 11.183 6.842" Properties=species:S:1:pos:R:3 pbc="T T T"
Tb -3.011 -0.678 1.618
Tb -0.010 -1.818 2.973
Dy -3.181 7.318 8.402
Dy 1.320 1.369 3.031
Dy 0.000 0.000 0.000
Dy -2.956 9.053 5.527
Dy -1.897 2.591 1.579
Dy -1.689 0.822 4.435
Dy -0.172 7.865 6.998
Ho 3.694 3.822 8.476
Ho -5.555 4.865 2.957
Ho -2.431 4.913 5.039
Ho 0.570 3.774 6.394
```

---

The following is a PBE calculation of a geometry-optimized Tb3Dy6Ho2 structure, from Alexandria via LeMat-Bulk.

Computed properties:
The relative energy among the computed polymorphs comes out at 2.95 eV/f.u. The calculation puts the energy of formation from the pure elements at 286 meV per atom. As for the space group: I4/mmm (139).

Geometry as extended XYZ:
```
11
Lattice="4.699 0.000 0.000 0.000 4.699 0.000 -2.350 -2.350 16.527" Properties=species:S:1:pos:R:3 pbc="T T T"
Tb 0.000 0.000 0.000
Tb 2.350 2.350 9.907
Tb 0.000 0.000 6.619
Dy 0.000 2.350 3.998
Dy 2.350 0.000 3.998
Dy 2.350 0.000 12.529
Dy 0.000 2.350 12.529
Dy 2.350 2.350 6.493
Dy 0.000 0.000 10.034
Ho 0.000 0.000 15.009
Ho 2.350 2.350 1.517
```

---

Looking at raw total energy for the records above, in order, we have -4.1075, -3.6414, -3.7348, -3.7255, -3.7406, -3.6302, -3.7303, -4.6242, -4.6172, -4.7386, -5.8127, -4.5974, -4.3656, -4.5757, -4.4751, -4.5064, -4.4549, -4.5846, -4.5047, -4.4231, -4.3193 eV per atom.